# VCdPb2O5

A relaxed VCdPb2O5 crystal (PBE with a Hubbard U, Alexandria).

a b c (Å): 3.6095 6.6776 12.9036
angles (deg): 90.00 90.00 105.68
Fractional positions:
Pb  0.1920  0.3841  0.2711
O  0.4810  0.9619  0.8268
Pb  0.0613  0.1225  0.6539
O  0.9352  0.8704  0.5026
V  0.5392  0.0785  0.9442
O  0.5860  0.1720  0.5407
O  0.5190  0.0381  0.3268
Pb  0.9387  0.8775  0.1539
O  0.6947  0.3894  0.9091
Pb  0.8080  0.6159  0.7711
V  0.4608  0.9215  0.4442
Cd  0.2432  0.4864  0.0107
Cd  0.7568  0.5136  0.5107
O  0.2437  0.4874  0.6650
O  0.4140  0.8280  0.0407
O  0.0648  0.1296  0.0026
O  0.3053  0.6106  0.4091
O  0.7563  0.5126  0.1650

Its electronic total energy is -105.57 eV/cell.